w.
Computed, not measured: a relaxed Lu2MgTe crystal at the PBE-GGA level of DFT.

Cell and atoms, written as CIF:
```
data_Lu2MgTe
_chemical_formula_sum 'Lu2 Mg1 Te1'
_cell_length_a 3.8059
_cell_length_b 3.8059
_cell_length_c 7.0707
_cell_angle_alpha 90.00
_cell_angle_beta 90.00
_cell_angle_gamma 90.00
_space_group_name_H-M_alt 'P 1'
_space_group_IT_number 1
loop_
_space_group_symop_operation_xyz
'x,y,z'
loop_
_atom_site_label
_atom_site_type_symbol
_atom_site_fract_x
_atom_site_fract_y
_atom_site_fract_z
_atom_site_occupancy
Lu1 Lu 0.0000 0.0000 0.2495 1
Lu2 Lu 0.0000 0.0000 0.7505 1
Mg1 Mg 0.5000 0.5000 0.5000 1
Te1 Te 0.5000 0.5000 0.0000 1
```

As for the volume: 102.42 Å³ per cell. The value obtained for the theoretical density is 8.14 g/cm3.

x.
Computed, not measured: a relaxed Lu2MgTe crystal at the PBE-GGA level of DFT.

Cell and atoms, written as CIF:
```
data_Lu2MgTe
_chemical_formula_sum 'Lu2 Mg1 Te1'
_cell_length_a 10.7987
_cell_length_b 10.7987
_cell_length_c 10.7987
_cell_angle_alpha 20.03
_cell_angle_beta 20.03
_cell_angle_gamma 20.03
_space_group_name_H-M_alt 'P 1'
_space_group_IT_number 1
loop_
_space_group_symop_operation_xyz
'x,y,z'
loop_
_atom_site_label
_atom_site_type_symbol
_atom_site_fract_x
_atom_site_fract_y
_atom_site_fract_z
_atom_site_occupancy
Lu1 Lu 0.1013 0.1013 0.1013 1
Lu2 Lu 0.8987 0.8987 0.8987 1
Mg1 Mg 0.0000 0.0000 0.0000 1
Te1 Te 0.5000 0.5000 0.5000 1
```

As for the volume: 129.24 Å³ per cell. The value obtained for the theoretical density is 6.45 g/cm3.

The structure with the greatest stability is w.

w.
Computed, not measured: a relaxed LuThMg2 crystal at the PBE-GGA level of DFT.

Cell and atoms, written as CIF:
```
data_LuThMg2
_chemical_formula_sum 'Lu1 Th1 Mg2'
_cell_length_a 11.4166
_cell_length_b 11.4166
_cell_length_c 11.4166
_cell_angle_alpha 17.06
_cell_angle_beta 17.06
_cell_angle_gamma 17.06
_space_group_name_H-M_alt 'P 1'
_space_group_IT_number 1
loop_
_space_group_symop_operation_xyz
'x,y,z'
loop_
_atom_site_label
_atom_site_type_symbol
_atom_site_fract_x
_atom_site_fract_y
_atom_site_fract_z
_atom_site_occupancy
Lu1 Lu 0.0000 0.0000 0.0000 1
Th1 Th 0.5000 0.5000 0.5000 1
Mg1 Mg 0.2530 0.2530 0.2530 1
Mg2 Mg 0.7470 0.7470 0.7470 1
```

As for the volume: 111.78 Å³ per cell. The value obtained for the theoretical density is 6.77 g/cm3.

x.
Computed, not measured: a relaxed LuThMg2 crystal at the PBE-GGA level of DFT.

Cell and atoms, written as CIF:
```
data_LuThMg2
_chemical_formula_sum 'Lu1 Th1 Mg2'
_cell_length_a 5.3451
_cell_length_b 5.3451
_cell_length_c 5.3451
_cell_angle_alpha 60.00
_cell_angle_beta 60.00
_cell_angle_gamma 60.00
_space_group_name_H-M_alt 'P 1'
_space_group_IT_number 1
loop_
_space_group_symop_operation_xyz
'x,y,z'
loop_
_atom_site_label
_atom_site_type_symbol
_atom_site_fract_x
_atom_site_fract_y
_atom_site_fract_z
_atom_site_occupancy
Lu1 Lu 0.0000 0.0000 0.0000 1
Th1 Th 0.5000 0.5000 0.5000 1
Mg1 Mg 0.2500 0.2500 0.2500 1
Mg2 Mg 0.7500 0.7500 0.7500 1
```

As for the volume: 107.98 Å³ per cell. The value obtained for the theoretical density is 7.01 g/cm3.

y.
Computed, not measured: a relaxed LuThMg2 crystal at the PBE-GGA level of DFT.

Cell and atoms, written as CIF:
```
data_LuThMg2
_chemical_formula_sum 'Lu1 Th1 Mg2'
_cell_length_a 3.4869
_cell_length_b 3.4869
_cell_length_c 8.9434
_cell_angle_alpha 90.00
_cell_angle_beta 90.00
_cell_angle_gamma 90.00
_space_group_name_H-M_alt 'P 1'
_space_group_IT_number 1
loop_
_space_group_symop_operation_xyz
'x,y,z'
loop_
_atom_site_label
_atom_site_type_symbol
_atom_site_fract_x
_atom_site_fract_y
_atom_site_fract_z
_atom_site_occupancy
Lu1 Lu 0.0000 0.0000 0.0000 1
Th1 Th 0.0000 0.0000 0.5000 1
Mg1 Mg 0.5000 0.5000 0.2373 1
Mg2 Mg 0.5000 0.5000 0.7627 1
```

As for the volume: 108.74 Å³ per cell. The value obtained for the theoretical density is 6.96 g/cm3.

The structure with the greatest stability is x.

w.
Computed, not measured: a relaxed LuMg2Ti crystal at the PBE-GGA level of DFT.

Cell and atoms, written as CIF:
```
data_LuMg2Ti
_chemical_formula_sum 'Lu1 Mg2 Ti1'
_cell_length_a 5.0117
_cell_length_b 5.0117
_cell_length_c 5.0117
_cell_angle_alpha 60.00
_cell_angle_beta 60.00
_cell_angle_gamma 60.00
_space_group_name_H-M_alt 'P 1'
_space_group_IT_number 1
loop_
_space_group_symop_operation_xyz
'x,y,z'
loop_
_atom_site_label
_atom_site_type_symbol
_atom_site_fract_x
_atom_site_fract_y
_atom_site_fract_z
_atom_site_occupancy
Lu1 Lu 0.0000 0.0000 0.0000 1
Mg1 Mg 0.2500 0.2500 0.2500 1
Mg2 Mg 0.7500 0.7500 0.7500 1
Ti1 Ti 0.5000 0.5000 0.5000 1
```

As for the volume: 89.01 Å³ per cell. The value obtained for the theoretical density is 5.06 g/cm3.

x.
Computed, not measured: a relaxed LuMg2Ti crystal at the PBE-GGA level of DFT.

Cell and atoms, written as CIF:
```
data_LuMg2Ti
_chemical_formula_sum 'Lu1 Mg2 Ti1'
_cell_length_a 3.4970
_cell_length_b 3.4970
_cell_length_c 7.2809
_cell_angle_alpha 90.00
_cell_angle_beta 90.00
_cell_angle_gamma 90.00
_space_group_name_H-M_alt 'P 1'
_space_group_IT_number 1
loop_
_space_group_symop_operation_xyz
'x,y,z'
loop_
_atom_site_label
_atom_site_type_symbol
_atom_site_fract_x
_atom_site_fract_y
_atom_site_fract_z
_atom_site_occupancy
Lu1 Lu 0.0000 0.0000 0.0000 1
Mg1 Mg 0.5000 0.5000 0.2794 1
Mg2 Mg 0.5000 0.5000 0.7206 1
Ti1 Ti 0.0000 0.0000 0.5000 1
```

As for the volume: 89.04 Å³ per cell. The value obtained for the theoretical density is 5.06 g/cm3.

y.
Computed, not measured: a relaxed LuMg2Ti crystal at the PBE-GGA level of DFT.

Cell and atoms, written as CIF:
```
data_LuMg2Ti
_chemical_formula_sum 'Lu1 Mg2 Ti1'
_cell_length_a 4.4661
_cell_length_b 4.4661
_cell_length_c 4.5865
_cell_angle_alpha 90.00
_cell_angle_beta 90.00
_cell_angle_gamma 90.00
_space_group_name_H-M_alt 'P 1'
_space_group_IT_number 1
loop_
_space_group_symop_operation_xyz
'x,y,z'
loop_
_atom_site_label
_atom_site_type_symbol
_atom_site_fract_x
_atom_site_fract_y
_atom_site_fract_z
_atom_site_occupancy
Lu1 Lu 0.0000 0.0000 0.0000 1
Mg1 Mg 0.0000 0.5000 0.5000 1
Mg2 Mg 0.5000 0.0000 0.5000 1
Ti1 Ti 0.5000 0.5000 0.0000 1
```

As for the volume: 91.48 Å³ per cell. The value obtained for the theoretical density is 4.93 g/cm3.

The structure with the greatest stability is x.

w.
Computed, not measured: a relaxed LuMg2Tl crystal at the PBE-GGA level of DFT.

Cell and atoms, written as CIF:
```
data_LuMg2Tl
_chemical_formula_sum 'Lu1 Mg2 Tl1'
_cell_length_a 3.4633
_cell_length_b 3.4633
_cell_length_c 8.4709
_cell_angle_alpha 90.00
_cell_angle_beta 90.00
_cell_angle_gamma 90.00
_space_group_name_H-M_alt 'P 1'
_space_group_IT_number 1
loop_
_space_group_symop_operation_xyz
'x,y,z'
loop_
_atom_site_label
_atom_site_type_symbol
_atom_site_fract_x
_atom_site_fract_y
_atom_site_fract_z
_atom_site_occupancy
Lu1 Lu 0.0000 0.0000 0.0000 1
Mg1 Mg 0.5000 0.5000 0.2649 1
Mg2 Mg 0.5000 0.5000 0.7351 1
Tl1 Tl 0.0000 0.0000 0.5000 1
```

As for the volume: 101.61 Å³ per cell. The value obtained for the theoretical density is 6.99 g/cm3.

x.
Computed, not measured: a relaxed LuMg2Tl crystal at the PBE-GGA level of DFT.

Cell and atoms, written as CIF:
```
data_LuMg2Tl
_chemical_formula_sum 'Lu1 Mg2 Tl1'
_cell_length_a 5.1760
_cell_length_b 5.1760
_cell_length_c 5.1760
_cell_angle_alpha 60.00
_cell_angle_beta 60.00
_cell_angle_gamma 60.00
_space_group_name_H-M_alt 'P 1'
_space_group_IT_number 1
loop_
_space_group_symop_operation_xyz
'x,y,z'
loop_
_atom_site_label
_atom_site_type_symbol
_atom_site_fract_x
_atom_site_fract_y
_atom_site_fract_z
_atom_site_occupancy
Lu1 Lu 0.0000 0.0000 0.0000 1
Mg1 Mg 0.2500 0.2500 0.2500 1
Mg2 Mg 0.7500 0.7500 0.7500 1
Tl1 Tl 0.5000 0.5000 0.5000 1
```

As for the volume: 98.06 Å³ per cell. The value obtained for the theoretical density is 7.25 g/cm3.

y.
Computed, not measured: a relaxed LuMg2Tl crystal at the PBE-GGA level of DFT.

Cell and atoms, written as CIF:
```
data_LuMg2Tl
_chemical_formula_sum 'Lu1 Mg2 Tl1'
_cell_length_a 4.4832
_cell_length_b 4.4832
_cell_length_c 4.7653
_cell_angle_alpha 90.00
_cell_angle_beta 90.00
_cell_angle_gamma 90.00
_space_group_name_H-M_alt 'P 1'
_space_group_IT_number 1
loop_
_space_group_symop_operation_xyz
'x,y,z'
loop_
_atom_site_label
_atom_site_type_symbol
_atom_site_fract_x
_atom_site_fract_y
_atom_site_fract_z
_atom_site_occupancy
Lu1 Lu 0.0000 0.0000 0.0000 1
Mg1 Mg 0.0000 0.5000 0.5000 1
Mg2 Mg 0.5000 0.0000 0.5000 1
Tl1 Tl 0.5000 0.5000 0.0000 1
```

As for the volume: 95.78 Å³ per cell. The value obtained for the theoretical density is 7.42 g/cm3.

The structure with the greatest stability is y.

w.
Computed, not measured: a relaxed Lu2MgV crystal at the PBE-GGA level of DFT.

Cell and atoms, written as CIF:
```
data_Lu2MgV
_chemical_formula_sum 'Lu2 Mg1 V1'
_cell_length_a 3.5256
_cell_length_b 3.5256
_cell_length_c 7.7499
_cell_angle_alpha 90.00
_cell_angle_beta 90.00
_cell_angle_gamma 90.00
_space_group_name_H-M_alt 'P 1'
_space_group_IT_number 1
loop_
_space_group_symop_operation_xyz
'x,y,z'
loop_
_atom_site_label
_atom_site_type_symbol
_atom_site_fract_x
_atom_site_fract_y
_atom_site_fract_z
_atom_site_occupancy
Lu1 Lu 0.0000 0.0000 0.2163 1
Lu2 Lu 0.0000 0.0000 0.7837 1
Mg1 Mg 0.5000 0.5000 0.5000 1
V1 V 0.5000 0.5000 0.0000 1
```

As for the volume: 96.33 Å³ per cell. The value obtained for the theoretical density is 7.33 g/cm3.

x.
Computed, not measured: a relaxed Lu2MgV crystal at the PBE-GGA level of DFT.

Cell and atoms, written as CIF:
```
data_Lu2MgV
_chemical_formula_sum 'Lu2 Mg1 V1'
_cell_length_a 5.1030
_cell_length_b 5.1030
_cell_length_c 5.1030
_cell_angle_alpha 60.00
_cell_angle_beta 60.00
_cell_angle_gamma 60.00
_space_group_name_H-M_alt 'P 1'
_space_group_IT_number 1
loop_
_space_group_symop_operation_xyz
'x,y,z'
loop_
_atom_site_label
_atom_site_type_symbol
_atom_site_fract_x
_atom_site_fract_y
_atom_site_fract_z
_atom_site_occupancy
Lu1 Lu 0.2500 0.2500 0.2500 1
Lu2 Lu 0.7500 0.7500 0.7500 1
Mg1 Mg 0.0000 0.0000 0.0000 1
V1 V 0.5000 0.5000 0.5000 1
```

As for the volume: 93.96 Å³ per cell. The value obtained for the theoretical density is 7.51 g/cm3.

y.
Computed, not measured: a relaxed Lu2MgV crystal at the PBE-GGA level of DFT.

Cell and atoms, written as CIF:
```
data_Lu2MgV
_chemical_formula_sum 'Lu2 Mg1 V1'
_cell_length_a 11.2944
_cell_length_b 11.2944
_cell_length_c 11.2944
_cell_angle_alpha 16.39
_cell_angle_beta 16.39
_cell_angle_gamma 16.39
_space_group_name_H-M_alt 'P 1'
_space_group_IT_number 1
loop_
_space_group_symop_operation_xyz
'x,y,z'
loop_
_atom_site_label
_atom_site_type_symbol
_atom_site_fract_x
_atom_site_fract_y
_atom_site_fract_z
_atom_site_occupancy
Lu1 Lu 0.0837 0.0837 0.0837 1
Lu2 Lu 0.9163 0.9163 0.9163 1
Mg1 Mg 0.5000 0.5000 0.5000 1
V1 V 0.0000 0.0000 0.0000 1
```

As for the volume: 99.98 Å³ per cell. The value obtained for the theoretical density is 7.06 g/cm3.

The structure with the greatest stability is w.

w.
Computed, not measured: a relaxed Y2LuMg crystal at the PBE-GGA level of DFT.

Cell and atoms, written as CIF:
```
data_Y2LuMg
_chemical_formula_sum 'Y2 Lu1 Mg1'
_cell_length_a 3.5842
_cell_length_b 3.5842
_cell_length_c 9.1685
_cell_angle_alpha 90.00
_cell_angle_beta 90.00
_cell_angle_gamma 90.00
_space_group_name_H-M_alt 'P 1'
_space_group_IT_number 1
loop_
_space_group_symop_operation_xyz
'x,y,z'
loop_
_atom_site_label
_atom_site_type_symbol
_atom_site_fract_x
_atom_site_fract_y
_atom_site_fract_z
_atom_site_occupancy
Y1 Y 0.0000 0.0000 0.2377 1
Y2 Y 0.0000 0.0000 0.7623 1
Lu1 Lu 0.5000 0.5000 0.5000 1
Mg1 Mg 0.5000 0.5000 0.0000 1
```

As for the volume: 117.78 Å³ per cell. The value obtained for the theoretical density is 5.32 g/cm3.

x.
Computed, not measured: a relaxed Y2LuMg crystal at the PBE-GGA level of DFT.

Cell and atoms, written as CIF:
```
data_Y2LuMg
_chemical_formula_sum 'Y2 Lu1 Mg1'
_cell_length_a 5.4057
_cell_length_b 5.4057
_cell_length_c 4.0270
_cell_angle_alpha 90.00
_cell_angle_beta 90.00
_cell_angle_gamma 90.00
_space_group_name_H-M_alt 'P 1'
_space_group_IT_number 1
loop_
_space_group_symop_operation_xyz
'x,y,z'
loop_
_atom_site_label
_atom_site_type_symbol
_atom_site_fract_x
_atom_site_fract_y
_atom_site_fract_z
_atom_site_occupancy
Y1 Y 0.0000 0.5000 0.0000 1
Y2 Y 0.5000 0.0000 0.0000 1
Lu1 Lu 0.0000 0.0000 0.5000 1
Mg1 Mg 0.5000 0.5000 0.5000 1
```

As for the volume: 117.68 Å³ per cell. The value obtained for the theoretical density is 5.32 g/cm3.

y.
Computed, not measured: a relaxed Y2LuMg crystal at the PBE-GGA level of DFT.

Cell and atoms, written as CIF:
```
data_Y2LuMg
_chemical_formula_sum 'Y2 Lu1 Mg1'
_cell_length_a 12.3334
_cell_length_b 12.3334
_cell_length_c 12.3334
_cell_angle_alpha 16.00
_cell_angle_beta 16.00
_cell_angle_gamma 16.00
_space_group_name_H-M_alt 'P 1'
_space_group_IT_number 1
loop_
_space_group_symop_operation_xyz
'x,y,z'
loop_
_atom_site_label
_atom_site_type_symbol
_atom_site_fract_x
_atom_site_fract_y
_atom_site_fract_z
_atom_site_occupancy
Y1 Y 0.0898 0.0898 0.0898 1
Y2 Y 0.9102 0.9102 0.9102 1
Lu1 Lu 0.5000 0.5000 0.5000 1
Mg1 Mg 0.0000 0.0000 0.0000 1
```

As for the volume: 124.28 Å³ per cell. The value obtained for the theoretical density is 5.04 g/cm3.

The structure with the greatest stability is w.